Record 1
Here is crystalline Sm2ZrSc4 at its relaxed geometry from Alexandria via LeMat-Bulk. Energies are from PBE.

Cell lengths 5.072, 5.072, 16.466 Å; angles 90.00, 90.00, 90.00 degrees
Space group I4/mmm (No. 139)
Asymmetric unit:
Sm 0.000 0.000 0.130 [4 per cell]
Zr 0.000 0.000 0.500 [2 per cell]
Sc 0.000 0.000 0.329 [4 per cell]
Sc 0.000 0.500 0.000 [4 per cell]

For the density of states at the Fermi level, the calculation gives 9.0 states/eV/f.u. The total DFT energy (no corrections) is -0.2078 Ha/atom.

Record 2
Here is crystalline SmZrSc6 at its relaxed geometry from Alexandria via LeMat-Bulk. Energies are from PBE.

Cell lengths 4.632, 4.632, 9.370 Å; angles 90.00, 90.00, 90.00 degrees
Space group P4/mmm (No. 123)
Asymmetric unit:
Sm 0.000 0.000 0.000 [1 per cell]
Zr 0.000 0.000 0.500 [1 per cell]
Sc 0.000 0.500 0.263 [4 per cell]
Sc 0.500 0.500 0.000 [1 per cell]
Sc 0.500 0.500 0.500 [1 per cell]

For the density of states at the Fermi level, the calculation gives 12.7 states/eV/f.u. The total DFT energy (no corrections) is -0.2339 Ha/atom.

Record 3
Here is crystalline ScSn at its relaxed geometry from Alexandria via LeMat-Bulk. Energies are from PBE.

Cell lengths 11.126, 11.126, 3.321 Å; angles 90.00, 90.00, 90.00 degrees
Space group I4/m (No. 87)
Asymmetric unit:
Sc 0.110 0.650 0.000 [8 per cell]
Sn 0.086 0.173 0.000 [8 per cell]

For the density of states at the Fermi level, the calculation gives 2.2 states/eV/f.u. The total DFT energy (no corrections) is -0.1980 Ha/atom.

Record 4
Here is crystalline Sc5Sn at its relaxed geometry from Alexandria via LeMat-Bulk. Energies are from PBE.

Cell lengths 4.511, 13.820, 4.506 Å; angles 90.00, 90.00, 90.00 degrees
Space group Cmmm (No. 65)
Asymmetric unit:
Sc 0.000 0.000 0.000 [2 per cell]
Sc 0.000 0.162 0.500 [4 per cell]
Sc 0.000 0.330 0.000 [4 per cell]
Sn 0.000 0.500 0.500 [2 per cell]

For the density of states at the Fermi level, the calculation gives 8.6 states/eV/f.u. The total DFT energy (no corrections) is -0.2289 Ha/atom.

Record 5
Here is crystalline Sc5Sn2 at its relaxed geometry from Alexandria via LeMat-Bulk. Energies are from PBE.

Cell lengths 14.822, 5.304, 8.266 Å; angles 90.00, 96.67, 90.00 degrees
Space group C2/c (No. 15)
Asymmetric unit:
Sc 0.000 0.218 0.250 [4 per cell]
Sc 0.137 0.199 0.960 [8 per cell]
Sc 0.218 0.337 0.317 [8 per cell]
Sn 0.083 0.300 0.602 [8 per cell]

For the density of states at the Fermi level, the calculation gives 8.4 states/eV/f.u. The total DFT energy (no corrections) is -0.2241 Ha/atom.

Record 6
Here is crystalline Sc3Sn at its relaxed geometry from Alexandria via LeMat-Bulk. Energies are from PBE.

Cell lengths 6.3767, 6.3767, 5.1699 Å; angles 90.00, 90.00, 120.00 degrees
Space group P6_3/mmc (No. 194)
Asymmetric unit:
Sc 0.1685 0.3370 0.2500 [6 per cell]
Sn 0.3333 0.6667 0.7500 [2 per cell]

For the density of states at the Fermi level, the calculation gives 3.9 states/eV/f.u. The total DFT energy (no corrections) is -0.2279 Ha/atom.

Record 7
Here is crystalline ScSn at its relaxed geometry from Alexandria via LeMat-Bulk. Energies are from PBE.

Cell lengths 5.090, 9.320, 5.967 Å; angles 90.00, 90.00, 90.00 degrees
Space group Imm2 (No. 44)
Asymmetric unit:
Sc 0.000 0.000 0.000 [2 per cell]
Sc 0.000 0.323 0.213 [4 per cell]
Sn 0.000 0.000 0.510 [2 per cell]
Sn 0.000 0.334 0.701 [4 per cell]

For the density of states at the Fermi level, the calculation gives 1.6 states/eV/f.u. The total DFT energy (no corrections) is -0.2084 Ha/atom.

Record 8
Here is crystalline Sc3Sn at its relaxed geometry from Alexandria via LeMat-Bulk. Energies are from PBE.

Cell lengths 7.127, 7.127, 7.127 Å; angles 90.00, 90.00, 90.00 degrees
Space group Fm-3m (No. 225)
Asymmetric unit:
Sc 0.000 0.000 0.000 [4 per cell]
Sc 0.250 0.250 0.250 [8 per cell]
Sn 0.000 0.000 0.500 [4 per cell]

For the density of states at the Fermi level, the calculation gives 5.8 states/eV/f.u. The total DFT energy (no corrections) is -0.2218 Ha/atom.